TcHgPt3: optimized geometry, PBE.

Values from the calculation:
Excess energy over the best structure of this formula in the dataset, meV per atom: 0.0
Total DFT energy (no corrections), eV per atom: -4.64
Energy relative to the elements, eV per atom: 1.12
Space-group type: Pm-3m
Crystal system: cubic

Lattice parameters (Å, degrees): 4.831 4.831 4.831 90.00 90.00 90.00
Element x y z (fractional)
Pt (0.500, 0.000, 0.000)
Pt (0.000, 0.500, 0.000)
Tc (0.000, 0.000, 0.000)
Hg (0.500, 0.500, 0.500)
Pt (0.000, 0.000, 0.500)

AlHg2W: optimized geometry, PBE.

Values from the calculation:
Total DFT energy (no corrections), eV per atom: -3.71
Energy relative to the elements, eV per atom: 0.62
Space-group type: P4/mmm
Crystal system: tetragonal

Lattice parameters (Å, degrees): 4.367 4.088 4.088 90.00 90.00 90.00
Last column: magnetic moment on the atom in μB.
Element x y z (fractional)
W (0.500, 0.500, 0.000)  0.49
Hg (0.000, 0.000, 0.000)  0.00
Hg (0.000, 0.500, 0.500)  0.00
Al (0.500, 0.000, 0.500)  -0.01

CoP2Pd: optimized geometry, PBE.

Values from the calculation:
Excess energy over the best structure of this formula in the dataset, meV per atom: 226.6
Total DFT energy (no corrections), eV per atom: -5.71
Energy relative to the elements, eV per atom: 0.07
Space-group type: Fm-3m
Crystal system: cubic

Lattice parameters (Å, degrees): 4.189 4.189 4.189 60.00 60.00 60.00
Element x y z (fractional)
P (0.250, 0.250, 0.250)
P (0.750, 0.750, 0.750)
Co (0.000, 0.000, 0.000)
Pd (0.500, 0.500, 0.500)

ZrBe3Ru: optimized geometry, PBE.

Values from the calculation:
Excess energy over the best structure of this formula in the dataset, meV per atom: 0.0
Total DFT energy (no corrections), eV per atom: -5.74
Energy relative to the elements, eV per atom: 0.06
Space-group type: Pm-3m
Crystal system: cubic

Lattice parameters (Å, degrees): 4.115 4.115 4.115 90.00 90.00 90.00
Element x y z (fractional)
Be (0.000, 0.000, 0.500)
Be (0.000, 0.500, 0.000)
Ru (0.000, 0.000, 0.000)
Be (0.500, 0.000, 0.000)
Zr (0.500, 0.500, 0.500)

SrAcAu2: optimized geometry, PBE.

Values from the calculation:
Excess energy over the best structure of this formula in the dataset, meV per atom: 31.7
Total DFT energy (no corrections), eV per atom: -3.85
Energy relative to the elements, eV per atom: -0.77
Space-group type: Fm-3m
Crystal system: cubic

Lattice parameters (Å, degrees): 5.476 5.476 5.478 60.01 60.01 60.00
Element x y z (fractional)
Au (0.250, 0.250, 0.250)
Sr (0.000, 0.000, 0.000)
Au (0.750, 0.750, 0.750)
Ac (0.500, 0.500, 0.500)

Y4BiTe5: optimized geometry, PBE.

Values from the calculation:
Uncorrected formation energy, eV/atom: -1.1838
Total DFT energy (no corrections), eV per atom: -5.73
Space-group type: C2/m
Crystal system: monoclinic

Lattice parameters (Å, degrees): 4.347 8.946 9.818 104.37 102.79 90.00
Element x y z (fractional)
Te (0.500, 0.500, 0.000)
Y (0.004, 0.261, 0.009)
Te (0.167, 0.334, 0.334)
Te (0.162, 0.845, 0.325)
Y (0.996, 0.739, 0.991)
Y (0.674, 0.101, 0.348)
Te (0.838, 0.155, 0.675)
Y (0.326, 0.899, 0.652)
Te (0.833, 0.666, 0.666)
Bi (0.500, 0.000, 0.000)

Na3LiTh2Se6: optimized geometry, PBE.

Values from the calculation:
Uncorrected formation energy, eV/atom: -1.5147
Total DFT energy (no corrections), eV per atom: -4.98
Space-group type: C2/m
Crystal system: monoclinic

Lattice parameters (Å, degrees): 7.356 7.356 7.371 99.60 99.60 119.94
Element x y z (fractional)
Se (0.738, 0.738, 0.233)
Na (0.164, 0.836, 0.500)
Th (0.333, 0.667, 0.000)
Se (0.923, 0.584, 0.768)
Th (0.667, 0.333, 0.000)
Se (0.077, 0.416, 0.232)
Se (0.584, 0.923, 0.768)
Na (0.500, 0.500, 0.500)
Na (0.836, 0.164, 0.500)
Se (0.416, 0.077, 0.232)
Li (0.000, 0.000, 0.000)
Se (0.262, 0.262, 0.767)

Er2SbPb: optimized geometry, PBE.

Values from the calculation:
Uncorrected formation energy, eV/atom: -0.6659
Excess energy over the best structure of this formula in the dataset, meV per atom: 46.5
Total DFT energy (no corrections), eV per atom: -4.91
Space-group type: Pnma
Crystal system: orthorhombic

Lattice parameters (Å, degrees): 4.205 8.146 13.749 90.00 90.00 90.00
Element x y z (fractional)
Er (0.750, 0.320, 0.508)
Sb (0.750, 0.076, 0.162)
Pb (0.750, 0.458, 0.921)
Er (0.250, 0.680, 0.492)
Pb (0.250, 0.542, 0.079)
Sb (0.750, 0.576, 0.338)
Er (0.250, 0.819, 0.232)
Er (0.250, 0.319, 0.268)
Er (0.750, 0.181, 0.768)
Er (0.750, 0.820, 0.992)
Er (0.250, 0.180, 0.008)
Er (0.750, 0.681, 0.732)
Pb (0.250, 0.042, 0.421)
Sb (0.250, 0.424, 0.662)
Pb (0.750, 0.958, 0.579)
Sb (0.250, 0.924, 0.838)

TcAg2Hg: optimized geometry, PBE.

Values from the calculation:
Total DFT energy (no corrections), eV per atom: -3.65
Energy relative to the elements, eV per atom: 0.44
Space-group type: P4/mmm
Crystal system: tetragonal

Lattice parameters (Å, degrees): 2.781 2.781 9.239 90.00 90.00 90.00
Element x y z (fractional)
Ag (0.000, 0.000, 0.516)
Ag (0.000, 0.000, 0.984)
Tc (0.500, 0.500, 0.750)
Hg (0.500, 0.500, 0.250)

ScAg2As2: optimized geometry, PBE.

Values from the calculation:
Excess energy over the best structure of this formula in the dataset, meV per atom: 70.5
Total DFT energy (no corrections), eV per atom: -4.45
Energy relative to the elements, eV per atom: -0.18
Space-group type: P4/mbm
Crystal system: tetragonal

Lattice parameters (Å, degrees): 7.261 7.261 3.796 90.00 90.00 90.00
Element x y z (fractional)
Ag (0.641, 0.859, 0.500)
Sc (0.500, 0.500, 0.000)
As (0.338, 0.838, 0.000)
As (0.162, 0.338, 0.000)
As (0.838, 0.662, 0.000)
Sc (0.000, 0.000, 0.000)
As (0.662, 0.162, 0.000)
Ag (0.141, 0.641, 0.500)
Ag (0.859, 0.359, 0.500)
Ag (0.359, 0.141, 0.500)

BeGeI2N: optimized geometry, PBE.

Values from the calculation:
Uncorrected formation energy, eV/atom: 0.9933
Excess energy over the best structure of this formula in the dataset, meV per atom: 493.3
Total DFT energy (no corrections), eV per atom: -2.96
Space-group type: P4/mmm
Crystal system: tetragonal

Lattice parameters (Å, degrees): 5.752 5.752 3.600 90.00 90.00 90.00
Element x y z (fractional)
Be (0.500, 0.500, 0.500)
I (0.000, 0.500, 0.000)
N (0.000, 0.000, 0.500)
I (0.500, 0.000, 0.000)
Ge (0.000, 0.000, 0.000)

Mn2Co: optimized geometry, PBE.

Values from the calculation:
Total DFT energy (no corrections), eV per atom: -8.20
Energy relative to the elements, eV per atom: 0.28
Space-group type: Fd-3m
Crystal system: cubic

Lattice parameters (Å, degrees): 4.562 4.562 4.562 60.00 60.00 60.00
Last column: magnetic moment on the atom in μB.
Element x y z (fractional)
Co (0.500, 0.500, 0.500)  1.14
Mn (0.125, 0.125, 0.125)  0.26
Co (0.750, 0.750, 0.750)  1.14
Mn (0.625, 0.125, 0.125)  0.26
Mn (0.125, 0.125, 0.625)  0.26
Mn (0.125, 0.625, 0.125)  0.26